! Tl6PbAu4 (PBE, optimized geometry); values from VASP
! DFT formation energy = 0.0231 eV/atom
&SYSTEM
  ibrav = 0, nat = 11, ntyp = 3
/
ATOMIC_SPECIES
Tl 204.38 Tl.upf
Pb 207.20 Pb.upf
Au 196.97 Au.upf
ATOMIC_POSITIONS crystal
Tl 0.113 0.613 0.500
Tl 0.250 0.750 0.500
Tl 0.387 0.887 0.500
Tl 0.613 0.113 0.500
Tl 0.750 0.250 0.500
Tl 0.887 0.387 0.500
Pb 0.000 0.000 0.000
Au 0.181 0.181 0.000
Au 0.450 0.450 0.000
Au 0.550 0.550 0.000
Au 0.819 0.819 0.000
CELL_PARAMETERS angstrom
-2.388 2.388 13.480
2.388 -2.388 13.480
2.388 2.388 -13.480